This record from the Alexandria database describes Nd2CdOs after structural relaxation. The functional is PBE.

Computed properties:
The theoretical density comes out at 6690 kg/m³. The calculation puts the volume at 146.7 Å³ per cell. The total energy comes out at -5.2073 eV per atom. The crystal system is trigonal. The energy relative to the elements comes out at 0.21 eV/atom.

```
Nd2CdOs
1.0
4.111 0.000 0.000
2.056 3.560 0.000
2.056 1.187 10.024
Nd Os Cd
2 1 1
Direct
0.116 0.116 0.651
0.884 0.884 0.349
0.500 0.500 0.500
0.000 0.000 0.000
```